Entry 1:
This record from the Alexandria database describes a relaxed LiCu6OF11 crystal. The functional is PBE-GGA.

Unit cell a=4.841 b=5.447 c=8.277 alpha=85.14 beta=86.18 gamma=87.78
Element x y z (fractional)
Li  0.000  0.000  0.000
Cu  0.015  0.363  0.188
Cu  0.493  0.494  0.504
Cu  0.511  0.117  0.826
Cu  0.514  0.834  0.154
Cu  0.964  0.630  0.828
Cu  0.999  0.989  0.492
O  0.686  0.833  0.932
F  0.176  0.667  0.089
F  0.177  0.932  0.776
F  0.193  0.293  0.420
F  0.295  0.435  0.740
F  0.302  0.162  0.077
F  0.313  0.804  0.399
F  0.687  0.530  0.271
F  0.690  0.181  0.584
F  0.803  0.693  0.579
F  0.804  0.322  0.909
F  0.819  0.043  0.226

Calculated values
Distance to the lowest polymorph of the same formula (eV per atom): 0.0131
DOS(E_F) (states/eV per cell): 7.267
Symmetry: P1
Total DFT energy (no corrections) (eV per atom): -4.254

=====

Entry 2:
This record from the Alexandria database describes a relaxed ScCd3Rh4 crystal. The functional is PBE-GGA.

Unit cell a=3.240 b=3.240 c=12.804 alpha=90.00 beta=90.00 gamma=90.00
Element x y z (fractional)
Sc  0.000  0.000  0.000
Cd  0.000  0.000  0.250
Cd  0.000  0.000  0.500
Cd  0.000  0.000  0.750
Rh  0.500  0.500  0.119
Rh  0.500  0.500  0.374
Rh  0.500  0.500  0.626
Rh  0.500  0.500  0.881

Calculated values
DOS(E_F) (states/eV per cell): 4.794
Formation energy from the elements (eV/atom): -0.346
Symmetry: P4/mmm
Total DFT energy (no corrections) (eV per atom): -5.156